[1]
BaAg4Sb4 | GGA-PBE | optimized geometry

Cell: 9.2774 9.2774 5.9608 Å, 90.00 90.00 90.00°
With the nearest neighbours (Å) after each atom.
Fractional coordinates of all 18 atoms:
Ba: 0.2500 0.2500 0.2500  4 Sb 3.52, 8 Ag 3.84-3.90
Ba: 0.7500 0.7500 0.7500  4 Sb 3.52, 8 Ag 3.84-3.90
Ag: 0.0621 0.8889 0.1319  5 Sb 2.78-3.07, 1 Ag 2.84
Ag: 0.1111 0.5621 0.6319  5 Sb 2.78-3.07, 1 Ag 2.84
Ag: 0.3889 0.9379 0.6319  5 Sb 2.78-3.07, 1 Ag 2.84
Ag: 0.4379 0.6111 0.1319  5 Sb 2.78-3.07, 1 Ag 2.84
Ag: 0.5621 0.3889 0.8681  5 Sb 2.78-3.07, 1 Ag 2.84
Ag: 0.6111 0.0621 0.3681  5 Sb 2.78-3.07, 1 Ag 2.84
Ag: 0.8889 0.4379 0.3681  5 Sb 2.78-3.07, 1 Ag 2.84
Ag: 0.9379 0.1111 0.8681  5 Sb 2.78-3.07, 1 Ag 2.84
Sb: 0.0923 0.8928 0.6291  5 Ag 2.78-3.07, 1 Sb 3.04
Sb: 0.1072 0.5923 0.1291  5 Ag 2.78-3.07, 1 Sb 3.04
Sb: 0.3928 0.9077 0.1291  5 Ag 2.78-3.07, 1 Sb 3.04
Sb: 0.4077 0.6072 0.6291  5 Ag 2.78-3.07, 1 Sb 3.04
Sb: 0.5923 0.3928 0.3709  5 Ag 2.78-3.07, 1 Sb 3.04
Sb: 0.6072 0.0923 0.8709  5 Ag 2.78-3.07, 1 Sb 3.04
Sb: 0.8928 0.4077 0.8709  5 Ag 2.78-3.07, 1 Sb 3.04
Sb: 0.9077 0.1072 0.3709  5 Ag 2.78-3.07, 1 Sb 3.04

ρ: 6.835 g/cm3
formation energy (no corrections): -0.155 eV/atom
SG: P4_2/n, No. 86
Fermi-level density of states: 8.357 states/eV per cell

=====

[2]
ThGa4Co2 | GGA-PBE | optimized geometry

Cell: 17.0105 4.0201 6.8300 Å, 90.00 90.00 90.00°
With the nearest neighbours (Å) after each atom.
Fractional coordinates of all 28 atoms:
Th: 0.1228 0.2500 0.0363  4 Co 3.11-3.33, 10 Ga 3.12-3.47
Th: 0.3772 0.7500 0.5363  4 Co 3.11-3.33, 10 Ga 3.12-3.47
Th: 0.6228 0.2500 0.4637  4 Co 3.11-3.33, 10 Ga 3.12-3.47
Th: 0.8772 0.7500 0.9637  4 Co 3.11-3.33, 10 Ga 3.12-3.47
Ga: 0.0372 0.7500 0.7414  3 Co 2.44-2.64
Ga: 0.0981 0.2500 0.5164  4 Co 2.40-2.54
Ga: 0.1862 0.7500 0.3576  4 Co 2.42-2.59, 1 Ga 2.65
Ga: 0.2029 0.7500 0.7434  3 Co 2.38-2.45, 1 Ga 2.65
Ga: 0.2971 0.2500 0.2434  3 Co 2.38-2.45, 1 Ga 2.65
Ga: 0.3138 0.2500 0.8576  4 Co 2.42-2.59, 1 Ga 2.65
Ga: 0.4019 0.7500 0.0164  4 Co 2.40-2.54
Ga: 0.4628 0.2500 0.2414  3 Co 2.44-2.64
Ga: 0.5372 0.7500 0.7586  3 Co 2.44-2.64
Ga: 0.5981 0.2500 0.9836  4 Co 2.40-2.54
Ga: 0.6862 0.7500 0.1424  4 Co 2.42-2.59, 1 Ga 2.65
Ga: 0.7029 0.7500 0.7566  3 Co 2.38-2.45, 1 Ga 2.65
Ga: 0.7971 0.2500 0.2566  3 Co 2.38-2.45, 1 Ga 2.65
Ga: 0.8138 0.2500 0.6424  4 Co 2.42-2.59, 1 Ga 2.65
Ga: 0.9019 0.7500 0.4836  4 Co 2.40-2.54
Ga: 0.9628 0.2500 0.2586  3 Co 2.44-2.64
Co: 0.0343 0.7500 0.3554  7 Ga 2.42-2.64
Co: 0.2379 0.2500 0.5586  7 Ga 2.38-2.59
Co: 0.2621 0.7500 0.0586  7 Ga 2.38-2.59
Co: 0.4657 0.2500 0.8554  7 Ga 2.42-2.64
Co: 0.5343 0.7500 0.1446  7 Ga 2.42-2.64
Co: 0.7379 0.2500 0.9414  7 Ga 2.38-2.59
Co: 0.7621 0.7500 0.4414  7 Ga 2.38-2.59
Co: 0.9657 0.2500 0.6446  7 Ga 2.42-2.64

energy above the most stable polymorph in this dataset: 0.000 eV/atom
formation enthalpy at 0 K: -0.427 eV/atom
ρ: 8.942 g/cm3
SG: Pnma, No. 62
Fermi-level density of states: 17.729 states/eV per cell

=====

[3]
Y2ZrCr | GGA-PBE | optimized geometry

Cell: 5.6535 5.6535 5.6535 Å, 130.86 130.86 72.04°
With the nearest neighbours (Å) after each atom.
Fractional coordinates of all 4 atoms:
Y: 0.2500 0.7500 0.5000  4 Zr 3.28, 4 Cr 3.28, 4 Y 3.32
Y: 0.7500 0.2500 0.5000  4 Zr 3.28, 4 Cr 3.28, 4 Y 3.32
Zr: 0.0000 0.0000 0.0000  8 Y 3.28, 4 Cr 3.32
Cr: 0.5000 0.5000 0.0000  8 Y 3.28, 4 Zr 3.32

energy above the most stable polymorph in this dataset: 0.136 eV/atom
formation enthalpy at 0 K: 0.367 eV/atom
ρ: 5.273 g/cm3
SG: I4/mmm, No. 139
Fermi-level density of states: 5.214 states/eV per cell

=====

[4]
Dy6Sb3Te | GGA-PBE | optimized geometry

Cell: 9.2754 9.2754 7.4856 Å, 90.00 90.00 104.06°
With the nearest neighbours (Å) after each atom.
Fractional coordinates of all 20 atoms:
Dy: 0.0033 0.9967 0.5000  4 Sb 3.06-3.22, 2 Te 3.09-3.14
Dy: 0.0857 0.5429 0.4872  3 Sb 3.07-3.14, 1 Te 3.15
Dy: 0.2484 0.7516 0.8753  1 Te 3.01, 3 Sb 3.18-3.20
Dy: 0.2827 0.3822 0.9073  4 Sb 3.05-3.10
Dy: 0.3822 0.2827 0.4073  4 Sb 3.05-3.10
Dy: 0.4571 0.9143 0.4872  3 Sb 3.07-3.14, 1 Te 3.15
Dy: 0.5429 0.0857 0.9872  3 Sb 3.07-3.14, 1 Te 3.15
Dy: 0.6178 0.7173 0.9073  4 Sb 3.05-3.10
Dy: 0.7173 0.6178 0.4073  4 Sb 3.05-3.10
Dy: 0.7516 0.2484 0.3753  1 Te 3.01, 3 Sb 3.18-3.20
Dy: 0.9143 0.4571 0.9872  3 Sb 3.07-3.14, 1 Te 3.15
Dy: 0.9967 0.0033 0.0000  4 Sb 3.06-3.22, 2 Te 3.09-3.14
Sb: 0.0822 0.2794 0.2368  7 Dy 3.05-3.22
Sb: 0.2794 0.0822 0.7368  7 Dy 3.05-3.22
Sb: 0.4129 0.5871 0.5927  7 Dy 3.07-3.20
Sb: 0.5871 0.4129 0.0927  7 Dy 3.07-3.20
Sb: 0.7206 0.9178 0.2368  7 Dy 3.05-3.22
Sb: 0.9178 0.7206 0.7368  7 Dy 3.05-3.22
Te: 0.1700 0.8300 0.2466  5 Dy 3.01-3.15
Te: 0.8300 0.1700 0.7466  5 Dy 3.01-3.15

ρ: 7.804 g/cm3
formation energy (no corrections): -0.814 eV/atom
SG: Cmc2_1, No. 36
Fermi-level density of states: 18.773 states/eV per cell

=====

[5]
Ni4Rh | GGA-PBE | optimized geometry

Cell: 4.4149 4.4149 4.4149 Å, 99.54 99.54 131.96°
With the nearest neighbours (Å) after each atom.
Fractional coordinates of all 5 atoms:
Ni: 0.0982 0.3039 0.4020  9 Ni 2.50-2.58, 3 Rh 2.55-2.56
Ni: 0.3039 0.9018 0.2057  9 Ni 2.50-2.58, 3 Rh 2.55-2.56
Ni: 0.6961 0.0982 0.7943  9 Ni 2.50-2.58, 3 Rh 2.55-2.56
Ni: 0.9018 0.6961 0.5980  9 Ni 2.50-2.58, 3 Rh 2.55-2.56
Rh: 0.5000 0.5000 0.0000  12 Ni 2.55-2.56

energy above the most stable polymorph in this dataset: 0.000 eV/atom
formation enthalpy at 0 K: 0.009 eV/atom
ρ: 9.594 g/cm3
SG: I4/m, No. 87
Fermi-level density of states: 6.880 states/eV per cell

=====

[6]
LaInHg3 | GGA-PBE | optimized geometry

Cell: 4.9345 5.0099 10.9923 Å, 103.05 90.02 90.00°
With the nearest neighbours (Å) after each atom.
Fractional coordinates of all 10 atoms:
La: 0.2504 0.1505 0.2947  8 Hg 3.27-3.32, 4 In 3.52-3.53
La: 0.7496 0.8495 0.7053  8 Hg 3.27-3.32, 4 In 3.52-3.53
In: 0.2493 0.3419 0.6870  8 Hg 3.16-3.47, 4 La 3.52-3.53
In: 0.7507 0.6581 0.3130  8 Hg 3.16-3.47, 4 La 3.52-3.53
Hg: 0.2479 0.5502 0.0972  8 Hg 3.21-3.53, 2 La 3.27-3.29, 2 In 3.37-3.39
Hg: 0.2492 0.7500 0.4979  4 In 3.16-3.23, 4 La 3.31-3.32, 4 Hg 3.50-3.53
Hg: 0.2506 0.9564 0.9093  6 Hg 3.13-3.51, 2 La 3.29-3.30, 2 In 3.44-3.47
Hg: 0.7494 0.0436 0.0907  6 Hg 3.13-3.51, 2 La 3.29-3.30, 2 In 3.44-3.47
Hg: 0.7508 0.2500 0.5021  4 In 3.16-3.23, 4 La 3.31-3.32, 4 Hg 3.50-3.53
Hg: 0.7521 0.4498 0.9028  8 Hg 3.21-3.53, 2 La 3.27-3.29, 2 In 3.37-3.39

energy above the most stable polymorph in this dataset: 0.000 eV/atom
formation enthalpy at 0 K: -0.366 eV/atom
ρ: 10.732 g/cm3
SG: P-1, No. 2
Fermi-level density of states: 4.467 states/eV per cell

=====

[7]
AsSeCl | GGA-PBE | optimized geometry

Cell: 7.1897 7.1897 7.1897 Å, 149.70 149.70 43.39°
With the nearest neighbours (Å) after each atom.
Fractional coordinates of all 3 atoms:
As: 0.0000 0.0000 0.0000  1 Cl 2.19
Se: 0.4596 0.4596 0.0000  4 As 2.71
Cl: 0.1640 0.1640 0.0000  1 As 2.19

ρ: 3.332 g/cm3
formation energy (no corrections): -0.286 eV/atom
SG: I4mm, No. 107
Fermi-level density of states: 0.214 states/eV per cell

=====

[8]
PrUN | GGA-PBE | optimized geometry

Cell: 5.7913 5.7913 6.9735 Å, 90.00 90.00 147.75°
With the nearest neighbours (Å) after each atom.
Fractional coordinates of all 6 atoms:
Pr: 0.2349 0.7651 0.7500  1 N 2.70
Pr: 0.7651 0.2349 0.2500  1 N 2.70
U: 0.5000 0.5000 0.0000  4 N 2.37
U: 0.5000 0.5000 0.5000  4 N 2.37
N: 0.0081 0.9919 0.2500  4 U 2.37
N: 0.9919 0.0081 0.7500  4 U 2.37

energy above the most stable polymorph in this dataset: 0.070 eV/atom
ρ: 10.457 g/cm3
formation energy (no corrections): -0.467 eV/atom
SG: Cmcm, No. 63
Fermi-level density of states: 11.123 states/eV per cell

=====

Which of these has the highest ρ?
LaInHg3